[1]
An optimized crystal structure of LiDy2Th3Te6. Source: Alexandria via LeMat-Bulk, functional GGA-PBE.

a b c (Å): 4.2044 9.1930 10.0549
angles (deg): 109.42 102.07 90.00
Closest atoms and distances in Å follow each position.
Fractional coordinates of all 12 atoms:
Li 0.5000 0.0000 0.0000  6 Te 2.88-3.00
Dy 0.8332 0.6651 0.6663  6 Te 3.04-3.08
Dy 0.1668 0.3349 0.3337  6 Te 3.04-3.08
Th 0.5000 0.5000 0.0000  6 Te 3.16-3.23
Th 0.8281 0.1588 0.6562  6 Te 3.19-3.24
Th 0.1719 0.8412 0.3438  6 Te 3.19-3.24
Te 0.3450 0.9127 0.6900  1 Li 2.88, 2 Dy 3.05, 2 Th 3.19
Te 0.6696 0.5783 0.3393  3 Dy 3.04-3.06, 3 Th 3.16-3.19
Te 0.6550 0.0873 0.3100  1 Li 2.88, 2 Dy 3.05, 2 Th 3.19
Te 0.0008 0.2339 0.0016  2 Li 3.00, 1 Dy 3.08, 3 Th 3.23
Te 0.9992 0.7661 0.9984  2 Li 3.00, 1 Dy 3.08, 3 Th 3.23
Te 0.3304 0.4217 0.6607  3 Dy 3.04-3.06, 3 Th 3.16-3.19

Symmetry: C2/m
Fermi-level density of states (states/eV per atom): 0.627
Energy relative to the elements, uncorrected (eV per formula unit): -13.69
Total magnetic moment (μB per cell): 0.00

[2]
An optimized crystal structure of Li4DyTm3Te8. Source: Alexandria via LeMat-Bulk, functional GGA-PBE.

a b c (Å): 8.6230 8.6315 8.6225
angles (deg): 119.99 120.00 90.00
Closest atoms and distances in Å follow each position.
Fractional coordinates of all 16 atoms:
Li 0.5000 0.0000 0.0000  6 Te 3.02
Li 0.5000 0.0000 0.5000  6 Te 3.04
Li 0.0000 0.0000 0.0000  6 Te 3.04
Li 0.0000 0.0000 0.5000  6 Te 3.04
Dy 0.0000 0.5000 0.0000  6 Te 3.08
Tm 0.5000 0.5000 0.0000  6 Te 3.06
Tm 0.5000 0.5000 0.5000  6 Te 3.06
Tm 0.0000 0.5000 0.5000  6 Te 3.06
Te 0.2525 0.7535 0.0012  3 Li 3.02-3.04, 2 Tm 3.06, 1 Dy 3.08
Te 0.2525 0.7535 0.5050  3 Li 3.02-3.04, 2 Tm 3.06, 1 Dy 3.08
Te 0.2492 0.2479 0.4984  3 Li 3.04, 3 Tm 3.06
Te 0.7487 0.7535 0.0012  3 Li 3.02-3.04, 2 Tm 3.06, 1 Dy 3.08
Te 0.2513 0.2465 0.9988  3 Li 3.02-3.04, 2 Tm 3.06, 1 Dy 3.08
Te 0.7508 0.7521 0.5016  3 Li 3.04, 3 Tm 3.06
Te 0.7475 0.2465 0.4950  3 Li 3.02-3.04, 2 Tm 3.06, 1 Dy 3.08
Te 0.7475 0.2465 0.9988  3 Li 3.02-3.04, 2 Tm 3.06, 1 Dy 3.08

Symmetry: R-3m
Energy relative to the elements, uncorrected (eV per formula unit): -20.42
Total magnetic moment (μB per cell): 0.00

[3]
An optimized crystal structure of Li2DyTmTe4. Source: Alexandria via LeMat-Bulk, functional GGA-PBE.

a b c (Å): 4.3235 7.4821 7.4793
angles (deg): 109.45 90.00 90.00
Closest atoms and distances in Å follow each position.
Fractional coordinates of all 8 atoms:
Li 0.5000 0.0000 0.5000  6 Te 3.05
Li 0.0000 0.5000 0.5000  6 Te 3.02-3.03
Dy 0.0000 0.0000 0.0000  6 Te 3.08
Tm 0.5000 0.5000 0.0000  6 Te 3.06
Te 0.5000 0.2538 0.2546  3 Li 3.03-3.05, 1 Tm 3.06, 2 Dy 3.08
Te 0.5000 0.7462 0.7454  3 Li 3.03-3.05, 1 Tm 3.06, 2 Dy 3.08
Te 0.0000 0.2517 0.7469  3 Li 3.02-3.05, 2 Tm 3.06, 1 Dy 3.08
Te 0.0000 0.7483 0.2531  3 Li 3.02-3.05, 2 Tm 3.06, 1 Dy 3.08

Symmetry: P2/m
Energy relative to the elements, uncorrected (eV per formula unit): -10.25
Total magnetic moment (μB per cell): 0.00

[4]
An optimized crystal structure of LiDy3Tm2Te6. Source: Alexandria via LeMat-Bulk, functional GGA-PBE.

a b c (Å): 4.3127 8.6413 9.6637
angles (deg): 103.17 102.89 90.00
Closest atoms and distances in Å follow each position.
Fractional coordinates of all 12 atoms:
Li 0.5000 0.0000 0.0000  6 Te 2.97-2.99
Dy 0.5000 0.5000 0.0000  6 Te 3.05-3.11
Dy 0.8323 0.1707 0.6646  6 Te 3.04-3.12
Dy 0.1677 0.8293 0.3354  6 Te 3.04-3.12
Tm 0.8320 0.6622 0.6641  6 Te 3.01-3.06
Tm 0.1680 0.3378 0.3359  6 Te 3.01-3.06
Te 0.3378 0.9168 0.6755  1 Li 2.97, 2 Tm 3.06, 3 Dy 3.09-3.12
Te 0.6667 0.5806 0.3333  3 Tm 3.01-3.03, 3 Dy 3.04-3.05
Te 0.6622 0.0832 0.3245  1 Li 2.97, 2 Tm 3.06, 3 Dy 3.09-3.12
Te 0.0013 0.2406 0.0027  2 Li 2.99, 1 Tm 3.05, 3 Dy 3.10-3.11
Te 0.9987 0.7594 0.9973  2 Li 2.99, 1 Tm 3.05, 3 Dy 3.10-3.11
Te 0.3333 0.4194 0.6667  3 Tm 3.01-3.03, 3 Dy 3.04-3.05

Symmetry: C2/m
Fermi-level density of states (states/eV per atom): 0.349
Energy relative to the elements, uncorrected (eV per formula unit): -15.23
Total magnetic moment (μB per cell): 0.00

[5]
An optimized crystal structure of LiDy2Tm3Te6. Source: Alexandria via LeMat-Bulk, functional GGA-PBE.

a b c (Å): 4.3033 8.6286 9.6557
angles (deg): 102.98 102.88 90.00
Closest atoms and distances in Å follow each position.
Fractional coordinates of all 12 atoms:
Li 0.5000 0.0000 0.0000  6 Te 2.98-3.01
Dy 0.8294 0.6577 0.6588  6 Te 3.04-3.13
Dy 0.1706 0.3423 0.3412  6 Te 3.04-3.13
Tm 0.5000 0.5000 0.0000  6 Te 3.00-3.08
Tm 0.8310 0.1689 0.6620  6 Te 3.00-3.09
Tm 0.1690 0.8311 0.3380  6 Te 3.00-3.09
Te 0.3371 0.9210 0.6742  1 Li 2.98, 3 Tm 3.05-3.08, 2 Dy 3.11
Te 0.6635 0.5870 0.3271  3 Tm 3.00, 3 Dy 3.04
Te 0.6629 0.0790 0.3258  1 Li 2.98, 3 Tm 3.05-3.08, 2 Dy 3.11
Te 0.9998 0.2437 0.9995  2 Li 3.01, 3 Tm 3.08-3.09, 1 Dy 3.13
Te 0.0002 0.7563 0.0005  2 Li 3.01, 3 Tm 3.08-3.09, 1 Dy 3.13
Te 0.3365 0.4130 0.6729  3 Tm 3.00, 3 Dy 3.04

Symmetry: C2/m
Fermi-level density of states (states/eV per atom): 0.314
Energy relative to the elements, uncorrected (eV per formula unit): -15.10
Total magnetic moment (μB per cell): 0.00

[6]
An optimized crystal structure of LiDy2TmTe4. Source: Alexandria via LeMat-Bulk, functional GGA-PBE.

a b c (Å): 4.2937 7.4693 7.4982
angles (deg): 109.10 90.00 90.00
Closest atoms and distances in Å follow each position.
Fractional coordinates of all 8 atoms:
Li 0.0000 0.0000 0.0000  6 Te 2.98-3.00
Dy 0.5000 0.0000 0.5000  6 Te 3.07
Dy 0.0000 0.5000 0.5000  6 Te 3.11-3.12
Tm 0.5000 0.5000 0.0000  6 Te 3.03-3.04
Te 0.5000 0.2425 0.2396  2 Li 3.00, 1 Tm 3.03, 3 Dy 3.07-3.11
Te 0.5000 0.7575 0.7604  2 Li 3.00, 1 Tm 3.03, 3 Dy 3.07-3.11
Te 0.0000 0.2472 0.7587  1 Li 2.98, 2 Tm 3.04, 3 Dy 3.07-3.12
Te 0.0000 0.7528 0.2413  1 Li 2.98, 2 Tm 3.04, 3 Dy 3.07-3.12

Symmetry: P2/m
Fermi-level density of states (states/eV per atom): 0.394
Energy relative to the elements, uncorrected (eV per formula unit): -10.28
Total magnetic moment (μB per cell): 0.00

[7]
An optimized crystal structure of LiDy3Tm3Te8. Source: Alexandria via LeMat-Bulk, functional GGA-PBE.

a b c (Å): 8.6197 8.6196 8.6288
angles (deg): 119.97 90.00 120.00
Closest atoms and distances in Å follow each position.
Fractional coordinates of all 15 atoms:
Li 0.0000 0.0000 0.5000  6 Te 3.04
Dy 0.0000 0.0000 0.0000  6 Te 3.07
Dy 0.0000 0.5000 0.0000  6 Te 3.07
Dy 0.5000 0.5000 0.0000  6 Te 3.07
Tm 0.5000 0.0000 0.5000  6 Te 3.03
Tm 0.5000 0.5000 0.5000  6 Te 3.03
Tm 0.0000 0.5000 0.5000  6 Te 3.03
Te 0.2513 0.5027 0.2540  3 Tm 3.03, 3 Dy 3.07
Te 0.7487 0.4973 0.7460  3 Tm 3.03, 3 Dy 3.07
Te 0.7503 0.5007 0.2532  2 Tm 3.03, 1 Li 3.04, 2 Dy 3.07
Te 0.2497 0.4993 0.7468  2 Tm 3.03, 1 Li 3.04, 2 Dy 3.07
Te 0.7503 0.0029 0.2532  2 Tm 3.03, 1 Li 3.04, 2 Dy 3.07
Te 0.2497 0.9971 0.7468  2 Tm 3.03, 1 Li 3.04, 2 Dy 3.07
Te 0.2525 0.0029 0.2532  2 Tm 3.03, 1 Li 3.04, 2 Dy 3.07
Te 0.7475 0.9971 0.7468  2 Tm 3.03, 1 Li 3.04, 2 Dy 3.07

Symmetry: R-3m
Fermi-level density of states (states/eV per atom): 0.304
Energy relative to the elements, uncorrected (eV per formula unit): -19.37
Total magnetic moment (μB per cell): 0.00

[8]
An optimized crystal structure of LiDyTmTe3. Source: Alexandria via LeMat-Bulk, functional GGA-PBE.

a b c (Å): 4.1947 8.8003 9.4287
angles (deg): 103.91 90.00 90.00
Closest atoms and distances in Å follow each position.
Fractional coordinates of all 12 atoms:
Li 0.2500 0.0852 0.5849  4 Te 2.73-2.77, 2 Li 2.84
Li 0.7500 0.9148 0.4151  4 Te 2.73-2.77, 2 Li 2.84
Dy 0.2500 0.1868 0.2326  7 Te 3.11-3.25
Dy 0.7500 0.8132 0.7674  7 Te 3.11-3.25
Tm 0.2500 0.6680 0.1649  6 Te 3.01-3.10
Tm 0.7500 0.3320 0.8351  6 Te 3.01-3.10
Te 0.7500 0.9098 0.1229  1 Li 2.74
Te 0.2500 0.0902 0.8771  1 Li 2.74
Te 0.2500 0.7611 0.5034  3 Li 2.73-2.77
Te 0.7500 0.2389 0.4966  3 Li 2.73-2.77
Te 0.7500 0.4237 0.1701  3 Tm 3.01-3.07, 2 Dy 3.11
Te 0.2500 0.5763 0.8299  3 Tm 3.01-3.07, 2 Dy 3.11

Symmetry: P2_1/m
Fermi-level density of states (states/eV per atom): 0.470
Energy relative to the elements, uncorrected (eV per formula unit): -7.21
Total magnetic moment (μB per cell): 0.00

What did the fifth record say?
An optimized crystal structure of LiDy2Tm3Te6. Source: Alexandria via LeMat-Bulk, functional GGA-PBE.

a b c (Å): 4.3033 8.6286 9.6557
angles (deg): 102.98 102.88 90.00
Closest atoms and distances in Å follow each position.
Fractional coordinates of all 12 atoms:
Li 0.5000 0.0000 0.0000  6 Te 2.98-3.01
Dy 0.8294 0.6577 0.6588  6 Te 3.04-3.13
Dy 0.1706 0.3423 0.3412  6 Te 3.04-3.13
Tm 0.5000 0.5000 0.0000  6 Te 3.00-3.08
Tm 0.8310 0.1689 0.6620  6 Te 3.00-3.09
Tm 0.1690 0.8311 0.3380  6 Te 3.00-3.09
Te 0.3371 0.9210 0.6742  1 Li 2.98, 3 Tm 3.05-3.08, 2 Dy 3.11
Te 0.6635 0.5870 0.3271  3 Tm 3.00, 3 Dy 3.04
Te 0.6629 0.0790 0.3258  1 Li 2.98, 3 Tm 3.05-3.08, 2 Dy 3.11
Te 0.9998 0.2437 0.9995  2 Li 3.01, 3 Tm 3.08-3.09, 1 Dy 3.13
Te 0.0002 0.7563 0.0005  2 Li 3.01, 3 Tm 3.08-3.09, 1 Dy 3.13
Te 0.3365 0.4130 0.6729  3 Tm 3.00, 3 Dy 3.04

Symmetry: C2/m
Fermi-level density of states (states/eV per atom): 0.314
Energy relative to the elements, uncorrected (eV per formula unit): -15.10
Total magnetic moment (μB per cell): 0.00